A plane-wave DFT calculation with PBE-GGA was carried out for a relaxed Tm4Sb2Pt crystal.

The space group is Pbam (No. 55) and the conventional cell measures 7.6617, 12.0540 and 4.3356 Å, with angles of 90.00, 90.00 and 90.00 degrees. The distinct sites, in fractional coordinates, are Tm at (0.1371, 0.2065, 0.0000), Tm at (0.2151, 0.9429, 0.5000), Sb at (0.0786, 0.6719, 0.5000) and Pt at (0.0000, 0.0000, 0.0000).

As for the raw formation energy: -0.9504 eV/atom.